The following is a meta-GGA SCAN calculation of a PBEsol-optimized structure of AgRuN2O, from Alexandria.

## Properties
For the total energy, the calculation gives -0.6457 Ha/atom. Its space-group type is No. 123. As for the crystal system: tetragonal. The density of states at the Fermi level comes out at 2.27 states/eV per cell. The calculation puts the spin magnetization at 0.0 μB/f.u.

extended XYZ file:
```
5
Lattice="3.7769 0.0000 0.0000 0.0000 3.7769 0.0000 0.0000 0.0000 3.9435" Properties=species:S:1:pos:R:3 pbc="T T T"
Ag 0.0000 0.0000 0.0000
Ru 1.8885 1.8885 1.9717
N 0.0000 1.8885 1.9717
N 1.8885 0.0000 1.9717
O 1.8885 1.8885 0.0000
```



The following is a meta-GGA SCAN calculation of a PBEsol-optimized structure of AgOs3N, from Alexandria.

## Properties
For the total energy, the calculation gives -1.8479 Ha/atom. Its space-group type is No. 221. As for the crystal system: cubic. The density of states at the Fermi level comes out at 2.56 states/eV per cell. The calculation puts the spin magnetization at 1.7 μB/f.u.

extended XYZ file:
```
5
Lattice="4.0461 0.0000 0.0000 0.0000 4.0461 0.0000 0.0000 0.0000 4.0461" Properties=species:S:1:pos:R:3 pbc="T T T"
Ag 0.0000 0.0000 0.0000
Os 0.0000 2.0231 2.0231
Os 2.0231 0.0000 2.0231
Os 2.0231 2.0231 0.0000
N 2.0231 2.0231 2.0231
```



The following is a meta-GGA SCAN calculation of a PBEsol-optimized structure of AgOsSeN2, from Alexandria.

## Properties
For the total energy, the calculation gives -1.0211 Ha/atom. Its space-group type is No. 123. As for the crystal system: tetragonal. The density of states at the Fermi level comes out at 1.75 states/eV per cell. The calculation puts the spin magnetization at 0.0 μB/f.u.

extended XYZ file:
```
5
Lattice="3.7592 0.0000 0.0000 0.0000 3.7592 0.0000 0.0000 0.0000 5.4476" Properties=species:S:1:pos:R:3 pbc="T T T"
Ag 0.0000 0.0000 0.0000
Os 1.8796 1.8796 2.7238
Se 1.8796 1.8796 0.0000
N 0.0000 1.8796 2.7238
N 1.8796 0.0000 2.7238
```



The following is a meta-GGA SCAN calculation of a PBEsol-optimized structure of AgTeOsN2, from Alexandria.

## Properties
For the total energy, the calculation gives -1.0829 Ha/atom. Its space-group type is No. 123. As for the crystal system: tetragonal. The density of states at the Fermi level comes out at 4.59 states/eV per cell. The calculation puts the spin magnetization at 4.3 μB/f.u.

extended XYZ file:
```
5
Lattice="3.8548 0.0000 0.0000 0.0000 3.8548 0.0000 0.0000 0.0000 6.2054" Properties=species:S:1:pos:R:3 pbc="T T T"
Ag 0.0000 0.0000 0.0000
Te 0.0000 0.0000 3.1027
Os 1.9274 1.9274 3.1027
N 0.0000 1.9274 0.0000
N 1.9274 0.0000 0.0000
```



Copy entry 3 word for word.
The following is a meta-GGA SCAN calculation of a PBEsol-optimized structure of AgOsSeN2, from Alexandria.

## Properties
For the total energy, the calculation gives -1.0211 Ha/atom. Its space-group type is No. 123. As for the crystal system: tetragonal. The density of states at the Fermi level comes out at 1.75 states/eV per cell. The calculation puts the spin magnetization at 0.0 μB/f.u.

extended XYZ file:
```
5
Lattice="3.7592 0.0000 0.0000 0.0000 3.7592 0.0000 0.0000 0.0000 5.4476" Properties=species:S:1:pos:R:3 pbc="T T T"
Ag 0.0000 0.0000 0.0000
Os 1.8796 1.8796 2.7238
Se 1.8796 1.8796 0.0000
N 0.0000 1.8796 2.7238
N 1.8796 0.0000 2.7238
```